## KCuW2 (GGA-PBE)

Data for KCuW2 after structural relaxation.

a = 6.2596 Å, b = 5.1148 Å, c = 2.6321 Å
α = 85.50°, β = 79.74°, γ = 113.08°
Sites, in units of the cell vectors:
Cu (0.5000, 0.5000, 0.0000)
W (0.0000, 0.5000, 0.5000)
K (0.5000, 0.0000, 0.5000)
W (0.0000, 0.0000, 0.0000)

Total magnetic moment, μB per cell: 0.0
Energy above the lowest structure with this stoichiometry, meV/atom: 598
Total energy, hartree per atom: -0.236
Formation energy from the elements, eV/atom: 1.348
V, Å³ per cell: 75

=====

## LiCoSCl2 (GGA-PBE)

Data for LiCoSCl2 after structural relaxation.

a = 4.4791 Å, b = 4.4791 Å, c = 4.8756 Å
α = 90.00°, β = 90.00°, γ = 90.00°
Site moments in Bohr magnetons follow the coordinates.
Sites, in units of the cell vectors:
S (0.0000, 0.0000, 0.5000)  0.62
Cl (0.0000, 0.5000, 0.0000)  0.24
Li (0.0000, 0.0000, 0.0000)  0.01
Cl (0.5000, 0.0000, 0.0000)  0.24
Co (0.5000, 0.5000, 0.5000)  2.43

Total magnetic moment, μB per cell: 4.0
Energy relative to the elements, uncorrected, meV per atom: 235
Energy above the lowest structure with this stoichiometry, meV/atom: 723
Total energy, hartree per atom: -0.115
V, Å³ per cell: 98

=====

## MnNiTe2 (GGA-PBE)

Data for MnNiTe2 after structural relaxation.

a = 7.3256 Å, b = 7.3256 Å, c = 7.3256 Å
α = 150.89°, β = 151.98°, γ = 40.85°
Site moments in Bohr magnetons follow the coordinates.
Sites, in units of the cell vectors:
Te (0.9883, 0.9883, 0.0000)  -0.17
Mn (0.5733, 0.5733, 0.0000)  3.39
Ni (0.6989, 0.1989, 0.5000)  0.04
Te (0.2395, 0.7395, 0.5000)  -0.07

Total magnetic moment, μB per cell: 3.3
Energy relative to the elements, uncorrected, meV per atom: 34
Total energy, hartree per atom: -0.194
V, Å³ per cell: 90

=====

## SrS (GGA-PBE)

Data for SrS after structural relaxation.

a = 13.1259 Å, b = 4.1815 Å, c = 8.2809 Å
α = 90.00°, β = 90.00°, γ = 90.00°
Sites, in units of the cell vectors:
S (0.0000, 0.5000, 0.3333)
S (0.8295, 0.5000, 0.6929)
Sr (0.7867, 0.5000, 0.3420)
Sr (0.2133, 0.5000, 0.3420)
Sr (0.5000, 0.5000, 0.0991)
Sr (0.7133, 0.0000, 0.8420)
Sr (0.2867, 0.0000, 0.8420)
S (0.6705, 0.0000, 0.1929)
S (0.5000, 0.0000, 0.8333)
S (0.1705, 0.5000, 0.6929)
Sr (0.0000, 0.0000, 0.5991)
S (0.3295, 0.0000, 0.1929)

Total magnetic moment, μB per cell: 0.0
Energy relative to the elements, uncorrected, meV per atom: -1795
Energy above the lowest structure with this stoichiometry, meV/atom: 356
Total energy, hartree per atom: -0.173
V, Å³ per cell: 455

=====

## Dy3Tm5In (GGA-PBE)

Data for Dy3Tm5In after structural relaxation.

a = 8.1720 Å, b = 8.1720 Å, c = 12.8363 Å
α = 60.91°, β = 60.91°, γ = 86.95°
Sites, in units of the cell vectors:
In (0.0329, 0.0329, 0.7310)
Tm (0.8672, 0.3518, 0.2042)
Tm (0.3518, 0.8672, 0.2042)
Tm (0.6570, 0.6570, 0.5920)
Dy (0.6895, 0.6895, 0.8124)
Tm (0.2693, 0.7307, 0.0000)
Tm (0.6482, 0.1328, 0.7958)
Tm (0.7307, 0.2693, 0.0000)
Tm (0.6796, 0.6796, 0.0567)
Dy (0.6705, 0.6705, 0.3272)
Dy (0.0000, 0.0000, 0.5000)
Tm (0.1328, 0.6482, 0.7958)
Dy (0.0000, 0.0000, 0.0000)
Dy (0.3295, 0.3295, 0.6728)
In (0.9671, 0.9671, 0.2690)
Tm (0.3204, 0.3204, 0.9433)
Tm (0.3430, 0.3430, 0.4080)
Dy (0.3105, 0.3105, 0.1876)

Total magnetic moment, μB per cell: 0.0
Total energy, hartree per atom: -0.145
Formation energy from the elements, eV/atom: 0.389
V, Å³ per cell: 635

=====

## Ac3Ge2Pt6Au (GGA-PBE)

Data for Ac3Ge2Pt6Au after structural relaxation.

a = 5.7108 Å, b = 5.7108 Å, c = 10.2663 Å
α = 90.00°, β = 90.00°, γ = 120.00°
Sites, in units of the cell vectors:
Ac (0.3333, 0.6667, 0.6025)
Pt (0.8369, 0.6738, 0.7236)
Ac (0.0000, 0.0000, 0.0000)
Pt (0.1631, 0.3262, 0.2764)
Au (0.0000, 0.0000, 0.5000)
Pt (0.3262, 0.1631, 0.7236)
Ge (0.6667, 0.3333, 0.9015)
Ac (0.6667, 0.3333, 0.3975)
Pt (0.6738, 0.8369, 0.2764)
Pt (0.8369, 0.1631, 0.7236)
Ge (0.3333, 0.6667, 0.0985)
Pt (0.1631, 0.8369, 0.2764)

Total magnetic moment, μB per cell: 0.0
Total energy, hartree per atom: -0.218
Formation energy from the elements, eV/atom: -0.831
V, Å³ per cell: 290

=====

## AsSeIN2 (GGA-PBE)

Data for AsSeIN2 after structural relaxation.

a = 3.8747 Å, b = 3.8747 Å, c = 6.5055 Å
α = 90.00°, β = 90.00°, γ = 90.00°
Site moments in Bohr magnetons follow the coordinates.
Sites, in units of the cell vectors:
N (0.0000, 0.5000, 0.0000)  0.27
N (0.5000, 0.0000, 0.0000)  0.27
Se (0.0000, 0.0000, 0.5000)  -0.01
As (0.0000, 0.0000, 0.0000)  -0.02
I (0.5000, 0.5000, 0.5000)  0.00

Total magnetic moment, μB per cell: 0.7
Energy relative to the elements, uncorrected, meV per atom: 1376
Energy above the lowest structure with this stoichiometry, meV/atom: 0
Total energy, hartree per atom: -0.143
V, Å³ per cell: 98

=====

## Y2MnAu (GGA-PBE)

Data for Y2MnAu after structural relaxation.

a = 5.8653 Å, b = 5.8653 Å, c = 5.8653 Å
α = 137.41°, β = 137.41°, γ = 61.80°
Site moments in Bohr magnetons follow the coordinates.
Sites, in units of the cell vectors:
Y (0.2500, 0.7500, 0.5000)  -0.33
Au (0.5000, 0.5000, 0.0000)  -0.02
Mn (0.7500, 0.2500, 0.5000)  3.47
Y (0.0000, 0.0000, 0.0000)  -0.26

Total magnetic moment, μB per cell: 2.7
Energy above the lowest structure with this stoichiometry, meV/atom: 193
Total energy, hartree per atom: -0.238
Formation energy from the elements, eV/atom: -0.135
V, Å³ per cell: 91